Density functional theory data (PBEsol) for AgMo after structural relaxation.

- Energy above the most stable polymorph in this dataset: 326 meV/atom
- Formation energy from the elements: 0.68 eV/atom
- Space group: Fd-3m
- DOS(E_F): 0.809 states/eV/atom
- Total magnetization: 0.00 μB/f.u.

Cell: 4.491 4.491 4.491 Å, 60.00 60.00 60.00°
Fractional positions:
Ag: 0.250 0.250 0.250
Ag: 0.000 0.000 0.000
Mo: 0.500 0.500 0.500
Mo: 0.750 0.750 0.750